{
  "formula": "Tb4NdTm5",
  "functional": "GGA-PBE",
  "state": "relaxed",
  "formation_energy_ev_per_atom": 0.3038,
  "crystal_system": "tetragonal",
  "energy_ev_per_cell": -42.6,
  "lattice": [[-5.093, 5.093, 3.118], [5.093, -5.093, 3.118], [5.093, 5.093, -3.118]],
  "species": ["Tb", "Tb", "Tb", "Tb", "Nd", "Tm", "Tm", "Tm", "Tm", "Tm"],
  "fractional_positions": [[0.051, 0.350, 0.401], [0.350, 0.949, 0.300], [0.650, 0.051, 0.700], [0.949, 0.650, 0.599], [0.769, 0.769, 0.000], [0.229, 0.229, 0.000], [0.262, 0.640, 0.912], [0.350, 0.262, 0.622], [0.640, 0.729, 0.378], [0.729, 0.350, 0.088]]
}

{
  "formula": "Tb3Nd2Tm9",
  "functional": "GGA-PBE",
  "state": "relaxed",
  "formation_energy_ev_per_atom": 0.1207,
  "crystal_system": "triclinic",
  "energy_ev_per_cell": -62.0,
  "lattice": [[6.174, 0.000, 0.000], [1.801, 8.474, 0.000], [0.580, 1.637, 8.529]],
  "species": ["Tb", "Tb", "Tb", "Nd", "Nd", "Tm", "Tm", "Tm", "Tm", "Tm", "Tm", "Tm", "Tm", "Tm"],
  "fractional_positions": [[0.000, 0.000, 0.000], [0.261, 0.271, 0.383], [0.739, 0.729, 0.617], [0.459, 0.706, 0.972], [0.541, 0.294, 0.028], [0.000, 0.500, 0.000], [0.092, 0.691, 0.318], [0.183, 0.895, 0.621], [0.348, 0.492, 0.666], [0.488, 0.916, 0.256], [0.512, 0.084, 0.744], [0.652, 0.508, 0.334], [0.817, 0.105, 0.379], [0.908, 0.309, 0.682]]
}

{
  "formula": "Tb12NdTm2",
  "functional": "GGA-PBE",
  "state": "relaxed",
  "formation_energy_ev_per_atom": 0.1110,
  "crystal_system": "monoclinic",
  "energy_ev_per_cell": -135.2,
  "lattice": [[3.557, -5.575, 0.000], [3.557, 5.575, 0.000], [-1.785, 0.000, 24.449]],
  "species": ["Tb", "Tb", "Tb", "Tb", "Tb", "Tb", "Tb", "Tb", "Tb", "Tb", "Tb", "Tb", "Tb", "Tb", "Tb", "Tb", "Tb", "Tb", "Tb", "Tb", "Tb", "Tb", "Tb", "Tb", "Nd", "Nd", "Tm", "Tm", "Tm", "Tm"],
  "fractional_positions": [[0.062, 0.539, 0.202], [0.067, 0.596, 0.330], [0.131, 0.649, 0.555], [0.161, 0.161, 0.566], [0.213, 0.213, 0.856], [0.232, 0.731, 0.925], [0.269, 0.768, 0.075], [0.283, 0.283, 0.132], [0.351, 0.869, 0.445], [0.353, 0.353, 0.411], [0.404, 0.933, 0.670], [0.461, 0.938, 0.798], [0.539, 0.062, 0.202], [0.596, 0.067, 0.330], [0.647, 0.647, 0.589], [0.649, 0.131, 0.555], [0.717, 0.717, 0.868], [0.731, 0.232, 0.925], [0.768, 0.269, 0.075], [0.787, 0.787, 0.144], [0.839, 0.839, 0.434], [0.869, 0.351, 0.445], [0.933, 0.404, 0.670], [0.938, 0.461, 0.798], [0.249, 0.249, 0.995], [0.751, 0.751, 0.005], [0.078, 0.078, 0.271], [0.442, 0.442, 0.730], [0.558, 0.558, 0.270], [0.922, 0.922, 0.729]]
}

{
  "formula": "Tb5Nd3Tm",
  "functional": "GGA-PBE",
  "state": "relaxed",
  "formation_energy_ev_per_atom": 0.5180,
  "crystal_system": "monoclinic",
  "energy_ev_per_cell": -74.5,
  "lattice": [[7.659, -5.731, 0.000], [7.659, 5.731, 0.000], [-6.435, 0.000, 7.615]],
  "species": ["Tb", "Tb", "Tb", "Tb", "Tb", "Tb", "Tb", "Tb", "Tb", "Tb", "Nd", "Nd", "Nd", "Nd", "Nd", "Nd", "Tm", "Tm"],
  "fractional_positions": [[0.091, 0.594, 0.252], [0.221, 0.221, 0.228], [0.245, 0.755, 0.000], [0.277, 0.277, 0.961], [0.406, 0.909, 0.748], [0.594, 0.091, 0.252], [0.723, 0.723, 0.039], [0.755, 0.245, 0.000], [0.779, 0.779, 0.772], [0.909, 0.406, 0.748], [0.000, 0.000, 0.500], [0.008, 0.008, 0.812], [0.480, 0.480, 0.642], [0.500, 0.500, 0.000], [0.520, 0.520, 0.358], [0.992, 0.992, 0.188], [0.252, 0.252, 0.601], [0.748, 0.748, 0.399]]
}

{
  "formula": "Tb3Nd5Tm4",
  "functional": "GGA-PBE",
  "state": "relaxed",
  "formation_energy_ev_per_atom": 0.2302,
  "crystal_system": "monoclinic",
  "energy_ev_per_cell": -52.9,
  "lattice": [[4.869, -2.909, 0.000], [4.869, 2.909, 0.000], [-4.821, 0.000, 14.190]],
  "species": ["Tb", "Tb", "Tb", "Nd", "Nd", "Nd", "Nd", "Nd", "Tm", "Tm", "Tm", "Tm"],
  "fractional_positions": [[0.000, 0.000, 0.000], [0.295, 0.295, 0.751], [0.705, 0.705, 0.249], [0.046, 0.046, 0.247], [0.168, 0.168, 0.499], [0.500, 0.500, 0.000], [0.832, 0.832, 0.501], [0.954, 0.954, 0.753], [0.324, 0.324, 0.146], [0.439, 0.439, 0.377], [0.561, 0.561, 0.623], [0.676, 0.676, 0.854]]
}

{
  "formula": "Tb4Nd5Tm4",
  "functional": "GGA-PBE",
  "state": "relaxed",
  "formation_energy_ev_per_atom": 0.0210,
  "crystal_system": "tetragonal",
  "energy_ev_per_cell": -60.0,
  "lattice": [[-6.470, 6.470, 2.529], [6.470, -6.470, 2.529], [6.470, 6.470, -2.529]],
  "species": ["Tb", "Tb", "Tb", "Tb", "Nd", "Nd", "Nd", "Nd", "Nd", "Tm", "Tm", "Tm", "Tm"],
  "fractional_positions": [[0.155, 0.767, 0.922], [0.233, 0.155, 0.388], [0.767, 0.845, 0.612], [0.845, 0.233, 0.078], [0.000, 0.000, 0.000], [0.304, 0.538, 0.842], [0.462, 0.304, 0.766], [0.538, 0.696, 0.234], [0.696, 0.462, 0.158], [0.075, 0.387, 0.462], [0.387, 0.925, 0.312], [0.613, 0.075, 0.688], [0.925, 0.613, 0.538]]
}

{
  "formula": "Tb12Nd3Tm",
  "functional": "GGA-PBE",
  "state": "relaxed",
  "formation_energy_ev_per_atom": 0.0183,
  "crystal_system": "tetragonal",
  "energy_ev_per_cell": -74.0,
  "lattice": [[5.060, 0.000, 0.000], [0.000, 5.060, 0.000], [0.000, 0.000, 20.234]],
  "species": ["Tb", "Tb", "Tb", "Tb", "Tb", "Tb", "Tb", "Tb", "Tb", "Tb", "Tb", "Tb", "Nd", "Nd", "Nd", "Tm"],
  "fractional_positions": [[0.000, 0.000, 0.000], [0.000, 0.000, 0.248], [0.000, 0.000, 0.500], [0.000, 0.000, 0.752], [0.000, 0.500, 0.123], [0.000, 0.500, 0.374], [0.000, 0.500, 0.626], [0.000, 0.500, 0.877], [0.500, 0.000, 0.123], [0.500, 0.000, 0.374], [0.500, 0.000, 0.626], [0.500, 0.000, 0.877], [0.500, 0.500, 0.249], [0.500, 0.500, 0.500], [0.500, 0.500, 0.751], [0.500, 0.500, 0.000]]
}

{
  "formula": "TbNd8Tm6",
  "functional": "GGA-PBE",
  "state": "relaxed",
  "formation_energy_ev_per_atom": 0.1305,
  "crystal_system": "trigonal",
  "energy_ev_per_cell": -67.6,
  "lattice": [[4.538, 2.620, 6.987], [-4.538, 2.620, 6.987], [0.000, -5.240, 6.987]],
  "species": ["Tb", "Nd", "Nd", "Nd", "Nd", "Nd", "Nd", "Nd", "Nd", "Tm", "Tm", "Tm", "Tm", "Tm", "Tm"],
  "fractional_positions": [[0.000, 0.000, 0.000], [0.113, 0.754, 0.715], [0.246, 0.285, 0.887], [0.285, 0.887, 0.246], [0.422, 0.422, 0.422], [0.578, 0.578, 0.578], [0.715, 0.113, 0.754], [0.754, 0.715, 0.113], [0.887, 0.246, 0.285], [0.095, 0.251, 0.538], [0.251, 0.538, 0.095], [0.462, 0.905, 0.749], [0.538, 0.095, 0.251], [0.749, 0.462, 0.905], [0.905, 0.749, 0.462]]
}

{
  "formula": "Tb2Nd8Tm",
  "functional": "GGA-PBE",
  "state": "relaxed",
  "formation_energy_ev_per_atom": 0.1647,
  "crystal_system": "monoclinic",
  "energy_ev_per_cell": -50.1,
  "lattice": [[8.402, -3.421, 0.000], [8.402, 3.421, 0.000], [-1.252, 0.000, 6.639]],
  "species": ["Tb", "Tb", "Nd", "Nd", "Nd", "Nd", "Nd", "Nd", "Nd", "Nd", "Tm"],
  "fractional_positions": [[0.195, 0.195, 0.306], [0.805, 0.805, 0.694], [0.176, 0.652, 0.098], [0.244, 0.244, 0.819], [0.348, 0.824, 0.902], [0.406, 0.406, 0.585], [0.594, 0.594, 0.415], [0.652, 0.176, 0.098], [0.756, 0.756, 0.181], [0.824, 0.348, 0.902], [0.000, 0.000, 0.500]]
}

{
  "formula": "Tb6Nd5Tm",
  "functional": "GGA-PBE",
  "state": "relaxed",
  "formation_energy_ev_per_atom": 0.0186,
  "crystal_system": "orthorhombic",
  "energy_ev_per_cell": -55.9,
  "lattice": [[-2.550, 5.085, 7.657], [2.550, -5.085, 7.657], [2.550, 5.085, -7.657]],
  "species": ["Tb", "Tb", "Tb", "Tb", "Tb", "Tb", "Nd", "Nd", "Nd", "Nd", "Nd", "Tm"],
  "fractional_positions": [[0.083, 0.334, 0.749], [0.248, 0.000, 0.248], [0.415, 0.666, 0.749], [0.585, 0.334, 0.251], [0.752, 0.000, 0.752], [0.917, 0.666, 0.251], [0.165, 0.165, 0.000], [0.333, 0.833, 0.500], [0.500, 0.500, 0.000], [0.667, 0.167, 0.500], [0.835, 0.835, 0.000], [0.000, 0.500, 0.500]]
}

{
  "formula": "Tb6NdTm",
  "functional": "GGA-PBE",
  "state": "relaxed",
  "formation_energy_ev_per_atom": 0.0222,
  "crystal_system": "tetragonal",
  "energy_ev_per_cell": -36.8,
  "lattice": [[5.047, 0.000, 0.000], [0.000, 5.047, 0.000], [0.000, 0.000, 10.079]],
  "species": ["Tb", "Tb", "Tb", "Tb", "Tb", "Tb", "Nd", "Tm"],
  "fractional_positions": [[0.000, 0.000, 0.000], [0.000, 0.000, 0.500], [0.000, 0.500, 0.247], [0.000, 0.500, 0.753], [0.500, 0.000, 0.247], [0.500, 0.000, 0.753], [0.500, 0.500, 0.500], [0.500, 0.500, 0.000]]
}

{
  "formula": "Tb7Nd2Tm",
  "functional": "GGA-PBE",
  "state": "relaxed",
  "formation_energy_ev_per_atom": 0.0181,
  "crystal_system": "triclinic",
  "energy_ev_per_cell": -46.2,
  "lattice": [[6.194, 0.000, 0.000], [-1.027, 6.109, 0.000], [-2.069, -3.484, 8.548]],
  "species": ["Tb", "Tb", "Tb", "Tb", "Tb", "Tb", "Tb", "Nd", "Nd", "Tm"],
  "fractional_positions": [[0.000, 0.000, 0.000], [0.000, 0.200, 0.401], [0.000, 0.800, 0.599], [0.498, 0.199, 0.899], [0.500, 0.400, 0.301], [0.500, 0.600, 0.699], [0.502, 0.801, 0.101], [0.002, 0.600, 0.201], [0.998, 0.400, 0.799], [0.500, 0.000, 0.500]]
}

Question: What is the formula in the second record?
Answer: Tb3Nd2Tm9